Entry 1:
Compound: RbCSeN2
Source: the Alexandria database
Functional: SCAN
Structure: single point on PBEsol structure

**Magnetic moment**: 6.6 Bohr magnetons per cell
**Mass density**: 1.8 g/cm3
**Raw formation energy**: 3268.3 meV per atom
**Polymorph energy (0 for the lowest one)**: 24.06 kcal/mol of atoms

Cell: 5.2785 5.2785 6.7105 Å, 90.00 90.00 90.00°
Closest atoms and distances in Å follow each position.
Space group P4/mmm (No. 123)
Asymmetric unit:
1 Rb 0.0000 0.0000 0.0000  4 N 2.64
2 C 0.5000 0.5000 0.5000  4 Se 3.73
3 Se 0.0000 0.0000 0.5000  2 Rb 3.36, 4 C 3.73
4 N 0.0000 0.5000 0.0000  2 Rb 2.64

=====

Entry 2:
Compound: Ni2Pt
Source: the Alexandria database
Functional: SCAN
Structure: single point on PBEsol structure

**Magnetic moment**: 8.1 Bohr magnetons per cell
**Calculated formation energy**: -101 meV/atom
**Mass density**: 14.3 g/cm3

Cell: 11.0125 2.6332 5.1712 Å, 90.00 104.28 90.00°
Closest atoms and distances in Å follow each position.
Space group C2/m (No. 12)
Asymmetric unit:
1 Ni 0.0002 0.0000 0.2329  7 Ni 2.41-2.63, 4 Pt 2.55-2.58
2 Ni 0.1635 0.5000 0.0817  8 Ni 2.49-2.63, 4 Pt 2.54-2.63
3 Pt 0.1605 0.5000 0.5894  8 Ni 2.54-2.63, 4 Pt 2.63-2.71

=====

Entry 3:
Compound: IF7
Source: the Alexandria database
Functional: SCAN
Structure: single point on PBEsol structure

**Magnetic moment**: 0.0 Bohr magnetons per cell
**Mass density**: 3.4 g/cm3
**Raw formation energy**: -1340.6 meV per atom
**Polymorph energy (0 for the lowest one)**: 0.22 kcal/mol of atoms

Cell: 7.8312 8.1199 7.9632 Å, 90.00 90.00 90.00°
Closest atoms and distances in Å follow each position.
Space group P222_1 (No. 17)
Asymmetric unit:
1 I 0.2365 0.0000 0.0000  7 F 1.86-1.89
2 I 0.2606 0.5000 0.5000  7 F 1.84-1.89
3 F 0.0414 0.1123 0.9182  1 I 1.89
4 F 0.0659 0.3959 0.4090  1 I 1.89
5 F 0.2680 0.4005 0.7073  1 I 1.84
6 F 0.2789 0.0232 0.7711  1 I 1.86
7 F 0.2790 0.2201 0.0508  1 I 1.86
8 F 0.3308 0.2936 0.4174  1 I 1.88
9 F 0.4749 0.0000 0.0000  1 I 1.87
10 F 0.4986 0.5000 0.0000  1 I 1.89

=====

Entry 4:
Compound: MnBe4Br
Source: the Alexandria database
Functional: SCAN
Structure: single point on PBEsol structure

**Magnetic moment**: 0.0 Bohr magnetons per cell
**Mass density**: 4.7 g/cm3
**Raw formation energy**: 622.2 meV per atom

Cell: 6.2107 6.2107 6.2107 Å, 90.00 90.00 90.00°
Closest atoms and distances in Å follow each position.
Space group F-43m (No. 216)
Asymmetric unit:
1 Mn 0.0000 0.0000 0.0000  12 Be 2.57, 4 Br 2.69
2 Be 0.1283 0.1283 0.6283  6 Be 2.14-2.25
3 Br 0.2500 0.2500 0.2500  12 Be 2.58, 4 Mn 2.69

=====

Entry 5:
Compound: Sm3CuSnS7
Source: the Alexandria database
Functional: SCAN
Structure: single point on PBEsol structure

**Magnetic moment**: 0.0 Bohr magnetons per cell
**Mass density**: 5.6 g/cm3
**Raw formation energy**: -1648.3 meV per atom

Cell: 9.9236 9.9236 5.9318 Å, 90.00 90.00 120.00°
Closest atoms and distances in Å follow each position.
Space group P6_3 (No. 173)
Asymmetric unit:
1 Sm 0.1372 0.3571 0.0000  7 S 2.75-3.01
2 Cu 0.0000 0.0000 0.0515  3 S 2.23
3 Sn 0.3333 0.6667 0.4270  4 S 2.35-2.40
4 S 0.0835 0.5704 0.2510  1 Sn 2.40
5 S 0.1015 0.2572 0.5351  1 Cu 2.23
6 S 0.3333 0.6667 0.8234  1 Sn 2.35

=====

Entry 6:
Compound: Cs3SeF
Source: the Alexandria database
Functional: SCAN
Structure: single point on PBEsol structure

**Magnetic moment**: 0.0 Bohr magnetons per cell
**Mass density**: 4.6 g/cm3
**Raw formation energy**: -1870.3 meV per atom
**Polymorph energy (0 for the lowest one)**: 0.00 kcal/mol of atoms

Cell: 5.6366 5.6366 5.6366 Å, 90.00 90.00 90.00°
Closest atoms and distances in Å follow each position.
Space group Pm-3m (No. 221)
Asymmetric unit:
1 Cs 0.0000 0.0000 0.5000  2 F 2.82
2 Se 0.5000 0.5000 0.5000  12 Cs 3.99
3 F 0.0000 0.0000 0.0000  6 Cs 2.82

=====

Entry 7:
Compound: Nd5MgAl4
Source: the Alexandria database
Functional: SCAN
Structure: single point on PBEsol structure

**Magnetic moment**: 0.0 Bohr magnetons per cell
**Calculated formation energy**: -329 meV/atom
**Mass density**: 5.5 g/cm3

Cell: 3.6741 3.6741 18.9549 Å, 90.00 90.00 90.00°
Closest atoms and distances in Å follow each position.
Space group P4/mmm (No. 123)
Asymmetric unit:
1 Nd 0.0000 0.0000 0.0000  8 Al 3.19
2 Nd 0.0000 0.0000 0.1949  8 Al 3.19-3.22
3 Nd 0.0000 0.0000 0.3900  4 Al 3.16, 4 Mg 3.33
4 Mg 0.5000 0.5000 0.5000  8 Nd 3.33, 4 Mg 3.67
5 Al 0.5000 0.5000 0.0975  8 Nd 3.19
6 Al 0.5000 0.5000 0.2950  8 Nd 3.16-3.22

=====

Entry 8:
Compound: Tc2MoIr
Source: the Alexandria database
Functional: SCAN
Structure: single point on PBEsol structure

**Magnetic moment**: 6.7 Bohr magnetons per cell
**Calculated formation energy**: 231 meV/atom
**Mass density**: 13.8 g/cm3
**Polymorph energy (0 for the lowest one)**: 9.43 kcal/mol of atoms

Cell: 6.1464 6.1464 6.1464 Å, 90.00 90.00 90.00°
Closest atoms and distances in Å follow each position.
Space group F-43m (No. 216)
Asymmetric unit:
1 Tc 0.0000 0.0000 0.0000  4 Tc 2.66, 4 Mo 2.66
2 Tc 0.2500 0.2500 0.2500  4 Tc 2.66, 4 Ir 2.66
3 Mo 0.2500 0.2500 0.7500  4 Tc 2.66, 4 Ir 2.66
4 Ir 0.0000 0.0000 0.5000  4 Mo 2.66, 4 Tc 2.66

=====

Entry 9:
Compound: MgNbInTc2
Source: the Alexandria database
Functional: SCAN
Structure: single point on PBEsol structure

**Magnetic moment**: 1.5 Bohr magnetons per cell
**Calculated formation energy**: 1768 meV/atom
**Mass density**: 6.8 g/cm3

Cell: 4.8180 4.8180 4.5105 Å, 90.00 90.00 90.00°
Closest atoms and distances in Å follow each position.
Space group P4/mmm (No. 123)
Asymmetric unit:
1 Mg 0.0000 0.0000 0.0000  2 In 2.26
2 Nb 0.5000 0.5000 0.0000  8 Tc 3.30, 4 Mg 3.41
3 In 0.0000 0.0000 0.5000  2 Mg 2.26, 4 Tc 2.41
4 Tc 0.0000 0.5000 0.5000  2 In 2.41

=====

Entry 10:
Compound: LuSi2Rh2
Source: the Alexandria database
Functional: SCAN
Structure: single point on PBEsol structure

**Magnetic moment**: 0.0 Bohr magnetons per cell
**Mass density**: 9.3 g/cm3
**Raw formation energy**: -1220.7 meV per atom

Cell: 3.9816 3.9816 9.8091 Å, 90.00 90.00 90.00°
Closest atoms and distances in Å follow each position.
Space group I4/mmm (No. 139)
Asymmetric unit:
1 Lu 0.0000 0.0000 0.0000  8 Si 3.05, 8 Rh 3.16
2 Si 0.0000 0.0000 0.3799  1 Si 2.36, 4 Rh 2.36
3 Rh 0.0000 0.5000 0.2500  4 Si 2.36

=====

Entry 11:
Compound: ZrIr2Os
Source: the Alexandria database
Functional: SCAN
Structure: single point on PBEsol structure

**Magnetic moment**: 12.0 Bohr magnetons per cell
**Calculated formation energy**: 36 meV/atom
**Mass density**: 17.4 g/cm3
**Polymorph energy (0 for the lowest one)**: 15.46 kcal/mol of atoms

Cell: 6.3332 6.3332 6.3332 Å, 90.00 90.00 90.00°
Closest atoms and distances in Å follow each position.
Space group Fm-3m (No. 225)
Asymmetric unit:
1 Zr 0.0000 0.0000 0.0000  8 Ir 2.74
2 Ir 0.2500 0.2500 0.2500  4 Zr 2.74, 4 Os 2.74
3 Os 0.0000 0.0000 0.5000  8 Ir 2.74

=====

Entry 12:
Compound: YHgW2
Source: the Alexandria database
Functional: SCAN
Structure: single point on PBEsol structure

**Magnetic moment**: 0.0 Bohr magnetons per cell
**Calculated formation energy**: 597 meV/atom
**Mass density**: 14.3 g/cm3

Cell: 2.9128 5.0720 5.1919 Å, 90.00 94.06 90.00°
Closest atoms and distances in Å follow each position.
Space group P2/m (No. 10)
Asymmetric unit:
1 Y 0.0000 0.0000 0.0000  4 Hg 2.89-3.07, 2 Y 2.91, 4 W 3.00
2 Hg 0.5000 0.0000 0.5000  4 Y 2.89-3.07, 2 Hg 2.91, 4 W 2.94
3 W 0.3345 0.5000 0.7661  1 W 2.55

=====

Entry 13:
Compound: K2LiMo
Source: the Alexandria database
Functional: SCAN
Structure: single point on PBEsol structure

**Magnetic moment**: 1.4 Bohr magnetons per cell
**Calculated formation energy**: 1143 meV/atom
**Mass density**: 3.0 g/cm3
**Polymorph energy (0 for the lowest one)**: 0.17 kcal/mol of atoms

Cell: 3.0377 3.0377 37.8537 Å, 90.00 90.00 120.00°
Closest atoms and distances in Å follow each position.
Space group R-3m (No. 166, hexagonal axes)
Asymmetric unit:
1 K 0.0000 0.0000 0.2444  6 K 3.04
2 Li 0.0000 0.0000 0.0000  6 Li 3.04
3 Mo 0.0000 0.0000 0.5000  6 Mo 3.04

=====

Entry 14:
Compound: HgIr2Cl
Source: the Alexandria database
Functional: SCAN
Structure: single point on PBEsol structure

**Magnetic moment**: 0.0 Bohr magnetons per cell
**Mass density**: 16.4 g/cm3
**Raw formation energy**: 1149.5 meV per atom
**Polymorph energy (0 for the lowest one)**: 6.44 kcal/mol of atoms

Cell: 2.8726 2.8726 7.6330 Å, 90.00 90.00 90.00°
Closest atoms and distances in Å follow each position.
Space group P4/mmm (No. 123)
Asymmetric unit:
1 Hg 0.0000 0.0000 0.0000  4 Hg 2.87, 8 Ir 2.89
2 Ir 0.5000 0.5000 0.2695  4 Cl 2.69, 4 Ir 2.87, 4 Hg 2.89
3 Cl 0.0000 0.0000 0.5000  8 Ir 2.69, 4 Cl 2.87

=====

Entry 15:
Compound: CaCrCo2
Source: the Alexandria database
Functional: SCAN
Structure: single point on PBEsol structure

**Magnetic moment**: 1.3 Bohr magnetons per cell
**Calculated formation energy**: 675 meV/atom
**Mass density**: 6.4 g/cm3
**Polymorph energy (0 for the lowest one)**: 2.49 kcal/mol of atoms

Cell: 2.5896 4.4207 9.4710 Å, 90.00 90.00 90.00°
Closest atoms and distances in Å follow each position.
Space group Imm2 (No. 44)
Asymmetric unit:
1 Ca 0.0000 0.0000 0.0000  4 Co 2.56, 2 Ca 2.59
2 Cr 0.0000 0.5000 0.2084  6 Co 2.40-2.65, 2 Cr 2.59
3 Co 0.0000 0.0000 0.4950  2 Cr 2.40, 4 Co 2.41-2.59, 4 Ca 2.56
4 Co 0.0000 0.5000 0.7800  4 Co 2.41-2.59, 4 Cr 2.65

=====

Entry 16:
Compound: Al2TlCl
Source: the Alexandria database
Functional: SCAN
Structure: single point on PBEsol structure

**Magnetic moment**: 0.0 Bohr magnetons per cell
**Mass density**: 4.3 g/cm3
**Raw formation energy**: 98.4 meV per atom
**Polymorph energy (0 for the lowest one)**: 6.08 kcal/mol of atoms

Cell: 5.8769 5.8769 13.0593 Å, 90.00 90.00 90.00°
Closest atoms and distances in Å follow each position.
Space group I-42d (No. 122)
Asymmetric unit:
1 Al 0.2423 0.2500 0.1250  2 Tl 2.62, 2 Cl 2.67
2 Tl 0.0000 0.0000 0.0000  4 Al 2.62
3 Cl 0.0000 0.0000 0.5000  4 Al 2.67

=====

Entry 17:
Compound: LaCrMo4
Source: the Alexandria database
Functional: SCAN
Structure: single point on PBEsol structure

**Magnetic moment**: 9.1 Bohr magnetons per cell
**Calculated formation energy**: 536 meV/atom
**Mass density**: 8.8 g/cm3

Cell: 7.5639 7.5639 7.5639 Å, 90.00 90.00 90.00°
Closest atoms and distances in Å follow each position.
Space group F-43m (No. 216)
Asymmetric unit:
1 La 0.0000 0.0000 0.0000  12 Mo 3.14, 4 Cr 3.28
2 Cr 0.2500 0.2500 0.7500  12 Mo 3.14, 4 La 3.28
3 Mo 0.1250 0.1250 0.3750  6 Mo 2.67

=====

Entry 18:
Compound: NbAgIN2
Source: the Alexandria database
Functional: SCAN
Structure: single point on PBEsol structure

**Magnetic moment**: 0.0 Bohr magnetons per cell
**Mass density**: 6.2 g/cm3
**Raw formation energy**: 366.0 meV per atom

Cell: 4.0245 4.0245 5.8737 Å, 90.00 90.00 90.00°
Closest atoms and distances in Å follow each position.
Space group P4/mmm (No. 123)
Asymmetric unit:
1 Nb 0.0000 0.0000 0.0000  4 N 2.01
2 Ag 0.5000 0.5000 0.5000  4 I 2.85
3 I 0.0000 0.0000 0.5000  4 Ag 2.85, 2 Nb 2.94
4 N 0.0000 0.5000 0.0000  2 Nb 2.01

=====

Entry 19:
Compound: CuTcPt2
Source: the Alexandria database
Functional: SCAN
Structure: single point on PBEsol structure

**Magnetic moment**: 0.0 Bohr magnetons per cell
**Calculated formation energy**: -167 meV/atom
**Mass density**: 16.6 g/cm3
**Polymorph energy (0 for the lowest one)**: 2.00 kcal/mol of atoms

Cell: 2.7082 3.8328 5.3267 Å, 90.00 90.00 90.00°
Closest atoms and distances in Å follow each position.
Space group Pmmm (No. 47)
Asymmetric unit:
1 Cu 0.0000 0.0000 0.0000  2 Tc 2.66, 8 Pt 2.70, 2 Cu 2.71
2 Tc 0.0000 0.0000 0.5000  2 Cu 2.66, 8 Pt 2.70, 2 Tc 2.71
3 Pt 0.5000 0.5000 0.2506  4 Pt 2.66-2.71, 4 Tc 2.70, 4 Cu 2.70

=====

Entry 20:
Compound: AlZnIr
Source: the Alexandria database
Functional: SCAN
Structure: single point on PBEsol structure

**Magnetic moment**: 0.0 Bohr magnetons per cell
**Calculated formation energy**: -503 meV/atom
**Mass density**: 11.4 g/cm3

Cell: 4.1351 4.1351 2.8031 Å, 90.00 90.00 120.00°
Closest atoms and distances in Å follow each position.
Space group P3m1 (No. 156)
Asymmetric unit:
1 Al 0.0000 0.0000 0.0000  3 Zn 2.53, 3 Ir 2.54, 2 Al 2.80
2 Zn 0.6667 0.3333 0.2978  3 Al 2.53, 3 Ir 2.63, 2 Zn 2.80
3 Ir 0.3333 0.6667 0.6948  3 Al 2.54, 3 Zn 2.63, 2 Ir 2.80